11
Lattice="-3.474 7.786 -3.162 -4.359 -7.938 -1.681 -0.979 3.188 8.927" Properties=species:S:1:pos:R:3 comment="Cs2In2PbI6 (PBE, relaxed)" formation_energy_uncorrected_ev_per_atom=-0.86 pbc="T T T"
Cs -4.634 2.594 -1.597
Cs -4.177 0.443 5.681
In -7.811 2.982 2.850
In -1.000 0.054 1.233
Pb -2.226 5.487 2.883
I -4.891 3.922 1.955
I -4.669 -4.752 -0.165
I -2.440 3.973 5.798
I -4.143 7.789 4.249
I -6.371 -0.936 -1.714
I -3.920 -0.885 2.129

10
Lattice="-5.574 -0.533 2.842 -1.688 -4.411 -4.138 4.698 -8.879 7.549" Properties=species:S:1:pos:R:3 comment="Cs2InPbI6 (PBE, relaxed)" formation_energy_uncorrected_ev_per_atom=-0.95 e_above_lowest_polymorph_kj_per_mol_atoms=0.0 pbc="T T T"
Cs 3.507 -6.627 5.634
Cs 1.192 -2.252 1.914
In -1.282 -6.912 3.126
Pb -3.631 -2.472 -0.648
I -2.787 -0.267 1.421
I -0.438 -4.706 5.195
I -0.844 -2.206 -2.069
I 1.505 -6.645 1.705
I -0.128 -9.093 4.980
I -2.436 -4.731 1.272

9
Lattice="-1.858 -3.566 7.056 5.600 -0.588 5.853 -2.479 7.461 3.119" Properties=species:S:1:pos:R:3 comment="CsInPbI6 (PBE, relaxed)" formation_energy_uncorrected_ev_per_atom=-0.77 pbc="T T T"
Cs 1.263 3.307 16.028
In 0.008 2.346 5.863
Pb 1.255 0.961 10.165
I 1.228 1.873 3.196
I -2.267 3.990 4.890
I -0.894 2.877 8.642
I 1.642 4.822 6.000
I 2.056 0.542 7.036
I -1.717 -0.030 5.412

15
Lattice="-7.093 -2.998 4.590 8.264 -1.102 3.296 -0.763 9.696 5.153" Properties=species:S:1:pos:R:3 comment="Cs3PmIn2I9 (PBE, relaxed)" formation_energy_uncorrected_ev_per_atom=-1.15 pbc="T T T"
Cs 2.636 4.735 7.166
Cs 0.000 0.000 0.000
Cs -2.228 0.861 5.874
Pm -0.381 4.848 2.577
In 3.030 -0.280 4.500
In -2.622 5.876 8.539
I -5.075 3.713 7.779
I -0.882 3.153 9.451
I -1.476 5.234 5.450
I 1.884 0.362 7.590
I 1.290 2.443 3.588
I 5.483 1.883 5.261
I -3.547 -1.499 2.295
I 4.132 -0.551 1.648
I 0.585 -2.050 3.943

15
Lattice="8.997 0.000 0.000 -4.499 7.792 0.000 0.000 0.000 11.048" Properties=species:S:1:pos:R:3 comment="Cs3PrIn2I9 (PBE, relaxed)" formation_energy_uncorrected_ev_per_atom=-1.15 pbc="T T T"
Cs 0.000 5.195 7.379
Cs 0.000 0.000 0.000
Cs 4.499 2.597 3.669
Pr 0.000 0.000 5.524
In 0.000 5.195 1.640
In 4.499 2.597 9.408
I 6.763 1.290 7.307
I 4.499 5.212 7.307
I 2.234 1.290 7.307
I 2.265 6.502 3.741
I 0.000 2.580 3.741
I -2.265 6.502 3.741
I 4.499 0.000 0.000
I -2.249 3.896 0.000
I 2.249 3.896 0.000

20
Lattice="8.802 0.000 0.012 0.000 9.326 0.000 0.096 0.000 12.749" Properties=species:S:1:pos:R:3 comment="Cs2PrInI6 (PBE, relaxed)" formation_energy_uncorrected_ev_per_atom=-1.31 pbc="T T T"
Cs 0.256 8.617 3.189
Cs 4.705 5.372 9.570
Cs 8.642 0.709 9.572
Cs 4.193 3.954 3.191
Pr 4.449 0.000 6.380
Pr 0.000 4.663 0.000
In 4.401 0.000 0.006
In 0.048 4.663 6.375
I 2.579 6.396 0.583
I 7.028 7.593 6.963
I 6.319 2.930 12.178
I 1.870 1.733 5.798
I 2.844 6.663 5.783
I 7.293 7.326 12.163
I 6.054 2.663 6.978
I 1.605 2.000 0.598
I 8.002 4.851 3.053
I 3.649 9.138 9.421
I 0.896 4.475 9.708
I 5.249 0.188 3.340

15
Lattice="-5.164 6.906 -2.690 -3.211 -8.437 -0.329 -3.943 1.095 10.380" Properties=species:S:1:pos:R:3 comment="Cs3Pu2InI9 (PBE, relaxed)" formation_energy_uncorrected_ev_per_atom=-1.19 pbc="T T T"
Cs -6.343 -2.633 5.416
Cs 0.000 0.000 0.000
Cs -5.974 2.198 1.944
Pu -4.498 -3.146 0.559
Pu -7.819 2.710 6.802
In -1.971 0.548 5.190
I -7.506 5.024 4.759
I -9.069 0.918 4.598
I -4.992 1.663 6.068
I -7.325 -2.099 1.292
I -3.249 -1.354 2.762
I -4.812 -5.460 2.602
I -2.582 3.453 -1.345
I -1.605 -4.218 -0.165
I -4.187 -0.765 -1.510

9
Lattice="-6.616 0.117 4.902 0.910 -0.631 8.160 0.566 8.182 0.569" Properties=species:S:1:pos:R:3 comment="CsPuInI6 (PBE, relaxed)" formation_energy_uncorrected_ev_per_atom=-0.96 pbc="T T T"
Cs -6.050 8.299 5.472
Pu -3.521 3.748 8.993
In -1.618 3.920 4.639
I -6.074 2.173 8.200
I -1.249 5.299 10.431
I -3.324 5.709 6.595
I -5.617 5.608 10.327
I -1.841 1.957 7.095
I -3.018 1.745 11.309

8
Lattice="5.217 0.000 0.000 0.000 8.994 -0.164 0.000 3.182 8.428" Properties=species:S:1:pos:R:3 comment="CsRbIn2I4 (PBE, relaxed)" formation_energy_uncorrected_ev_per_atom=-0.97 pbc="T T T"
Cs 2.608 4.497 -0.082
Rb 0.000 6.088 4.132
In 0.000 3.182 8.428
In 2.608 1.591 4.214
I 0.000 9.300 6.069
I 5.217 2.875 2.195
I 2.609 7.709 1.979
I 2.609 4.466 6.285

12
Lattice="-1.525 -1.311 -4.646 -8.857 -3.027 3.762 -1.943 12.925 -3.010" Properties=species:S:1:pos:R:3 comment="CsRbInI3 (PBE, relaxed)" formation_energy_uncorrected_ev_per_atom=-1.14 pbc="T T T"
Cs -3.433 2.711 -1.017
Cs -8.892 5.876 -2.877
Rb -6.623 -0.495 0.935
Rb -5.703 9.082 -4.829
In -2.320 6.413 -2.428
In -10.006 2.174 -1.466
I -10.038 -0.750 -0.630
I -2.287 9.337 -3.264
I -7.272 3.228 0.097
I -5.054 5.359 -3.991
I -5.005 -0.468 -2.362
I -7.321 9.055 -1.532

12
Lattice="5.193 0.000 0.000 0.000 10.323 0.407 -2.597 -2.937 10.890" Properties=species:S:1:pos:R:3 comment="CsRb2In3I6 (PBE, relaxed)" formation_energy_uncorrected_ev_per_atom=-0.97 pbc="T T T"
Cs 2.597 0.000 0.000
Rb 2.597 4.887 7.488
Rb 0.000 2.499 3.809
In 2.597 5.162 0.204
In 2.597 -0.239 7.301
In 0.000 7.625 3.996
I 0.000 7.554 7.459
I 2.597 5.166 3.782
I 2.597 -0.167 3.838
I 2.597 -0.119 11.000
I 0.000 7.505 0.297
I 0.000 2.220 7.515

14
Lattice="8.571 0.000 0.000 0.000 8.583 0.000 -4.286 0.000 9.656" Properties=species:S:1:pos:R:3 comment="CsRbInI4 (PBE, relaxed)" formation_energy_uncorrected_ev_per_atom=-1.06 pbc="T T T"
Cs 0.000 2.146 2.080
Cs 4.286 6.438 7.576
Rb 4.286 6.438 2.126
Rb 0.000 2.146 7.530
In 0.000 6.438 4.863
In 4.286 2.146 4.793
I 4.286 2.146 7.952
I 0.000 6.438 8.061
I 0.000 6.438 1.704
I 4.286 2.146 1.595
I 2.143 4.292 4.828
I -2.143 0.000 4.828
I 2.143 0.000 4.828
I -2.143 4.292 4.828